Below is an optimized crystal structure of LaHoSi2, with properties calculated at the GGA-PBE level.

abc: 4.436 3.903 5.884
angles: 90.00 112.13 90.00
Positions (direct):
La 0.725 0.000 0.989
Ho 0.447 0.500 0.433
Si 0.151 0.500 0.842
Si 0.008 0.000 0.554

Computed properties:
Its space group is No. 38. The calculation puts the formation energy without anion corrections at -0.744 eV/atom. For the total energy, the calculation gives -5.832 eV/atom. The density of states at the Fermi level comes out at 3.23 states/eV/f.u.

=====

Below is an optimized crystal structure of LaSm5Ho5, with properties calculated at the GGA-PBE level.

abc: 6.123 6.123 11.748
angles: 90.00 90.00 120.00
Positions (direct):
La 0.333 0.667 0.000
Sm 0.667 0.333 0.158
Sm 0.667 0.333 0.842
Sm 0.333 0.667 0.325
Sm 0.333 0.667 0.675
Sm 0.000 0.000 0.000
Ho 0.333 0.167 0.500
Ho 0.000 0.000 0.266
Ho 0.833 0.667 0.500
Ho 0.833 0.167 0.500
Ho 0.000 0.000 0.734

Computed properties:
Its space group is No. 187. For the total energy, the calculation gives -4.379 eV/atom. The density of states at the Fermi level comes out at 21.18 states/eV/f.u.

=====

Below is an optimized crystal structure of La8Sm6Ho, with properties calculated at the GGA-PBE level.

abc: 6.744 9.549 9.549
angles: 120.00 90.00 90.00
Positions (direct):
La 0.834 0.037 0.289
La 0.834 0.711 0.748
La 0.834 0.252 0.963
La 0.166 0.963 0.711
La 0.166 0.289 0.252
La 0.166 0.748 0.037
La 0.884 0.333 0.667
La 0.116 0.667 0.333
Sm 0.652 0.660 0.092
Sm 0.652 0.908 0.568
Sm 0.652 0.432 0.340
Sm 0.348 0.340 0.908
Sm 0.348 0.092 0.432
Sm 0.348 0.568 0.660
Ho 0.500 0.000 0.000

Computed properties:
Its space group is No. 147. For the total energy, the calculation gives -4.669 eV/atom. The density of states at the Fermi level comes out at 24.57 states/eV/f.u.

=====

Below is an optimized crystal structure of LaSmHo4, with properties calculated at the GGA-PBE level.

abc: 6.641 6.641 6.641
angles: 60.00 60.00 60.00
Site moments in Bohr magnetons follow the coordinates.
Positions (direct):
Ho 0.626 0.626 0.123  0.18
Ho 0.626 0.123 0.626  0.18
Ho 0.626 0.626 0.626  0.18
Ho 0.123 0.626 0.626  0.18
Sm 0.000 0.000 0.000  0.22
La 0.250 0.250 0.250  0.33

Computed properties:
Its space group is No. 216. For the total energy, the calculation gives -4.378 eV/atom. The density of states at the Fermi level comes out at 15.72 states/eV/f.u.

=====

Below is an optimized crystal structure of LaSm2Ho, with properties calculated at the GGA-PBE level.

abc: 5.174 5.118 5.118
angles: 90.00 90.00 90.00
Positions (direct):
Ho 0.500 0.500 0.500
Sm 0.000 0.000 0.500
Sm 0.000 0.500 0.000
La 0.500 0.000 0.000

Computed properties:
Its space group is No. 123. For the total energy, the calculation gives -4.713 eV/atom. The density of states at the Fermi level comes out at 6.73 states/eV/f.u.

=====

Below is an optimized crystal structure of La3Sm4Ho3, with properties calculated at the GGA-PBE level.

abc: 3.801 9.565 9.565
angles: 89.76 90.00 90.00
Positions (direct):
La 0.000 0.507 0.004
La 0.000 0.996 0.493
La 0.500 0.171 0.829
Sm 0.000 0.627 0.373
Sm 0.000 0.377 0.623
Sm 0.000 0.868 0.876
Sm 0.000 0.124 0.132
Ho 0.500 0.828 0.172
Ho 0.500 0.331 0.329
Ho 0.500 0.671 0.669

Computed properties:
Its space group is No. 38. For the total energy, the calculation gives -4.656 eV/atom. The density of states at the Fermi level comes out at 12.43 states/eV/f.u.

=====

Below is an optimized crystal structure of LaSm2Ho6, with properties calculated at the GGA-PBE level.

abc: 6.061 7.460 7.460
angles: 59.99 89.99 89.99
Positions (direct):
La 0.000 0.000 0.000
Sm 0.784 0.667 0.667
Sm 0.216 0.333 0.333
Ho 0.297 0.373 0.814
Ho 0.297 0.814 0.814
Ho 0.297 0.814 0.373
Ho 0.703 0.627 0.186
Ho 0.703 0.186 0.186
Ho 0.703 0.186 0.627

Computed properties:
Its space group is No. 164. For the total energy, the calculation gives -4.433 eV/atom. The density of states at the Fermi level comes out at 14.39 states/eV/f.u.

=====

Below is an optimized crystal structure of La2Sm3Ho3, with properties calculated at the GGA-PBE level.

abc: 5.129 5.136 10.813
angles: 103.74 103.72 90.00
Positions (direct):
La 0.750 0.250 0.501
La 0.250 0.750 0.499
Sm 0.622 0.622 0.244
Sm 0.378 0.378 0.756
Sm 0.500 0.000 0.000
Ho 0.122 0.122 0.244
Ho 0.000 0.500 0.000
Ho 0.878 0.878 0.756

Computed properties:
Its space group is No. 71. For the total energy, the calculation gives -4.694 eV/atom. The density of states at the Fermi level comes out at 12.64 states/eV/f.u.

=====

Below is an optimized crystal structure of La12Sm5Ho2, with properties calculated at the GGA-PBE level.

abc: 7.656 11.166 10.157
angles: 58.70 90.00 110.05
Positions (direct):
La 0.004 0.007 0.203
La 0.066 0.668 0.835
La 0.601 0.668 0.835
La 0.090 0.681 0.473
La 0.591 0.681 0.473
La 0.487 0.975 0.686
La 0.513 0.025 0.314
La 0.910 0.319 0.527
La 0.409 0.319 0.527
La 0.934 0.332 0.165
La 0.399 0.332 0.165
La 0.996 0.993 0.797
Sm 0.173 0.347 0.818
Sm 0.323 0.647 0.160
Sm 0.000 0.000 0.500
Sm 0.677 0.353 0.840
Sm 0.827 0.653 0.182
Ho 0.699 0.000 0.000
Ho 0.301 0.000 0.000

Computed properties:
Its space group is No. 12. For the total energy, the calculation gives -4.685 eV/atom. The density of states at the Fermi level comes out at 32.43 states/eV/f.u.

=====

Below is an optimized crystal structure of LaSm12Ho6, with properties calculated at the GGA-PBE level.

abc: 8.804 8.804 8.804
angles: 99.04 99.04 99.04
Positions (direct):
La 0.000 0.000 0.000
Sm 0.759 0.241 0.500
Sm 0.355 0.081 0.355
Sm 0.355 0.355 0.081
Sm 0.919 0.645 0.645
Sm 0.645 0.645 0.919
Sm 0.645 0.919 0.645
Sm 0.500 0.759 0.241
Sm 0.241 0.500 0.759
Sm 0.241 0.759 0.500
Sm 0.500 0.241 0.759
Sm 0.759 0.500 0.241
Sm 0.081 0.355 0.355
Ho 0.899 0.340 0.899
Ho 0.899 0.899 0.340
Ho 0.340 0.899 0.899
Ho 0.101 0.101 0.660
Ho 0.101 0.660 0.101
Ho 0.660 0.101 0.101

Computed properties:
Its space group is No. 166. For the total energy, the calculation gives -4.489 eV/atom. The density of states at the Fermi level comes out at 37.60 states/eV/f.u.

=====

Below is an optimized crystal structure of LaSm5Ho, with properties calculated at the GGA-PBE level.

abc: 5.844 7.984 7.984
angles: 66.80 68.53 68.53
Positions (direct):
La 0.000 0.000 0.000
Sm 0.500 0.180 0.820
Sm 0.500 0.820 0.180
Sm 0.750 0.250 0.250
Sm 0.250 0.750 0.750
Sm 0.000 0.500 0.500
Ho 0.500 0.500 0.500

Computed properties:
Its space group is No. 71. For the total energy, the calculation gives -3.722 eV/atom. The density of states at the Fermi level comes out at 11.25 states/eV/f.u.

=====

Below is an optimized crystal structure of LaSm7Ho12, with properties calculated at the GGA-PBE level.

abc: 8.730 8.730 8.730
angles: 88.70 88.70 88.70
Positions (direct):
La 0.000 0.000 0.000
Sm 0.001 0.638 0.122
Sm 0.362 0.878 0.999
Sm 0.878 0.999 0.362
Sm 0.500 0.500 0.500
Sm 0.122 0.001 0.638
Sm 0.638 0.122 0.001
Sm 0.999 0.362 0.878
Ho 0.761 0.224 0.634
Ho 0.776 0.366 0.239
Ho 0.444 0.115 0.346
Ho 0.885 0.654 0.556
Ho 0.366 0.239 0.776
Ho 0.654 0.556 0.885
Ho 0.346 0.444 0.115
Ho 0.634 0.761 0.224
Ho 0.115 0.346 0.444
Ho 0.556 0.885 0.654
Ho 0.224 0.634 0.761
Ho 0.239 0.776 0.366

Computed properties:
Its space group is No. 148. For the total energy, the calculation gives -4.412 eV/atom. The density of states at the Fermi level comes out at 36.59 states/eV/f.u.

=====

Below is an optimized crystal structure of LaSm10Ho4, with properties calculated at the GGA-PBE level.

abc: 6.797 9.628 9.628
angles: 82.84 69.33 69.33
Positions (direct):
La 0.000 0.000 0.000
Sm 0.250 0.500 0.500
Sm 0.624 0.419 0.838
Sm 0.957 0.162 0.419
Sm 0.537 0.838 0.581
Sm 0.881 0.581 0.162
Sm 0.376 0.581 0.162
Sm 0.750 0.500 0.500
Sm 0.119 0.419 0.838
Sm 0.463 0.162 0.419
Sm 0.043 0.838 0.581
Ho 0.433 0.890 0.245
Ho 0.677 0.755 0.890
Ho 0.323 0.245 0.110
Ho 0.567 0.110 0.755

Computed properties:
Its space group is No. 87. For the total energy, the calculation gives -4.175 eV/atom. The density of states at the Fermi level comes out at 27.97 states/eV/f.u.

=====

Below is an optimized crystal structure of LaSm6Ho2, with properties calculated at the GGA-PBE level.

abc: 6.165 7.522 7.522
angles: 59.99 89.98 89.98
Site moments in Bohr magnetons follow the coordinates.
Positions (direct):
La 0.000 0.000 0.000  0.01
Sm 0.292 0.373 0.814  0.04
Sm 0.292 0.813 0.813  0.04
Sm 0.292 0.814 0.373  0.04
Sm 0.708 0.627 0.186  0.04
Sm 0.708 0.187 0.187  0.04
Sm 0.708 0.186 0.627  0.04
Ho 0.782 0.666 0.666  0.07
Ho 0.218 0.334 0.334  0.07

Computed properties:
Its space group is No. 164. For the total energy, the calculation gives -4.514 eV/atom. The density of states at the Fermi level comes out at 14.83 states/eV/f.u.

=====

Below is an optimized crystal structure of La6Sm8Ho, with properties calculated at the GGA-PBE level.

abc: 9.294 9.294 8.888
angles: 58.48 58.48 60.00
Positions (direct):
La 0.463 0.905 0.868
La 0.095 0.236 0.132
La 0.236 0.537 0.132
La 0.764 0.463 0.868
La 0.905 0.764 0.868
La 0.537 0.095 0.132
Sm 0.241 0.290 0.582
Sm 0.710 0.114 0.418
Sm 0.114 0.759 0.418
Sm 0.577 0.577 0.268
Sm 0.423 0.423 0.732
Sm 0.886 0.241 0.582
Sm 0.290 0.886 0.582
Sm 0.759 0.710 0.418
Ho 0.000 0.000 0.000

Computed properties:
Its space group is No. 148. For the total energy, the calculation gives -4.688 eV/atom. The density of states at the Fermi level comes out at 24.29 states/eV/f.u.

=====

Below is an optimized crystal structure of La3Sm6Ho, with properties calculated at the GGA-PBE level.

abc: 6.356 10.604 10.604
angles: 101.10 90.00 90.00
Positions (direct):
La 0.454 0.866 0.719
La 0.954 0.719 0.866
La 0.087 0.365 0.635
La 0.587 0.635 0.365
La 0.954 0.134 0.281
La 0.454 0.281 0.134
Sm 0.071 0.679 0.560
Sm 0.571 0.560 0.679
Sm 0.403 0.566 0.986
Sm 0.903 0.986 0.566
Sm 0.238 0.940 0.060
Sm 0.618 0.258 0.742
Sm 0.118 0.742 0.258
Sm 0.738 0.060 0.940
Sm 0.403 0.014 0.434
Sm 0.903 0.434 0.014
Sm 0.071 0.440 0.321
Sm 0.571 0.321 0.440
Ho 0.185 0.154 0.846
Ho 0.685 0.846 0.154

Computed properties:
Its space group is No. 36. For the total energy, the calculation gives -4.588 eV/atom. The density of states at the Fermi level comes out at 14.75 states/eV/f.u.

=====

Below is an optimized crystal structure of La5SmHo4, with properties calculated at the GGA-PBE level.

abc: 3.698 3.698 25.112
angles: 90.00 90.00 90.00
Positions (direct):
La 0.500 0.500 0.102
La 0.500 0.500 0.301
La 0.500 0.500 0.500
La 0.500 0.500 0.699
La 0.500 0.500 0.898
Sm 0.000 0.000 0.000
Ho 0.000 0.000 0.202
Ho 0.000 0.000 0.400
Ho 0.000 0.000 0.600
Ho 0.000 0.000 0.798

Computed properties:
Its space group is No. 123. For the total energy, the calculation gives -4.743 eV/atom. The density of states at the Fermi level comes out at 16.50 states/eV/f.u.

=====

Below is an optimized crystal structure of La3Sm5Ho3, with properties calculated at the GGA-PBE level.

abc: 5.699 9.712 9.712
angles: 120.00 90.00 90.00
Positions (direct):
La 0.000 0.411 0.411
La 0.000 0.589 0.000
La 0.000 0.000 0.589
Sm 0.500 0.333 0.667
Sm 0.500 0.667 0.333
Sm 0.500 0.272 0.272
Sm 0.500 0.000 0.728
Sm 0.500 0.728 0.000
Ho 0.500 0.631 0.631
Ho 0.500 0.000 0.369
Ho 0.500 0.369 0.000

Computed properties:
Its space group is No. 189. For the total energy, the calculation gives -4.029 eV/atom. The density of states at the Fermi level comes out at 19.40 states/eV/f.u.

=====

Below is an optimized crystal structure of La12Sm7Ho, with properties calculated at the GGA-PBE level.

abc: 8.929 8.929 8.929
angles: 89.57 89.57 89.57
Positions (direct):
La 0.855 0.261 0.719
La 0.739 0.281 0.145
La 0.607 0.143 0.484
La 0.857 0.516 0.393
La 0.281 0.145 0.739
La 0.516 0.393 0.857
La 0.484 0.607 0.143
La 0.719 0.855 0.261
La 0.143 0.484 0.607
La 0.393 0.857 0.516
La 0.261 0.719 0.855
La 0.145 0.739 0.281
Sm 0.860 0.620 0.935
Sm 0.380 0.065 0.140
Sm 0.065 0.140 0.380
Sm 0.500 0.500 0.500
Sm 0.935 0.860 0.620
Sm 0.620 0.935 0.860
Sm 0.140 0.380 0.065
Ho 0.000 0.000 0.000

Computed properties:
Its space group is No. 148. For the total energy, the calculation gives -4.652 eV/atom. The density of states at the Fermi level comes out at 38.32 states/eV/f.u.

=====

Below is an optimized crystal structure of La2Sm2Ho, with properties calculated at the GGA-PBE level.

abc: 3.855 7.091 13.466
angles: 90.00 90.00 105.77
Positions (direct):
La 0.998 0.997 0.196
La 0.260 0.521 0.799
La 0.002 0.003 0.696
La 0.740 0.479 0.299
Sm 0.262 0.524 0.093
Sm 0.902 0.804 0.948
Sm 0.738 0.476 0.593
Sm 0.098 0.196 0.448
Ho 0.602 0.204 0.949
Ho 0.398 0.796 0.449

Computed properties:
Its space group is No. 36. For the total energy, the calculation gives -4.653 eV/atom. The density of states at the Fermi level comes out at 6.83 states/eV/f.u.